# ThVO4F

ThVO4F after structural relaxation (PBE with a Hubbard U, Alexandria).

Summary:
E_tot	-8.1842	eV per atom
calculated volume	118.5	Å³/f.u.
DOS at the Fermi energy	0.0	states/eV/cell

Lattice parameters (Å, degrees): 9.700 7.378 6.940 90.00 107.31 90.00
Space group C2/m (No. 12)
Inequivalent atoms, fractional coordinates:
Th (0.217, 0.000, 0.118) [4 per cell]
V (0.151, 0.500, 0.281) [4 per cell]
O (0.033, 0.500, 0.761) [4 per cell]
O (0.202, 0.318, 0.150) [8 per cell]
O (0.241, 0.500, 0.533) [4 per cell]
F (0.015, 0.000, 0.827) [4 per cell]